[1]
The following is a GGA-PBE calculation of a relaxed structure of Pa3Co2As4, from Alexandria.

Computed properties:
- energy relative to the elements (eV/atom) = -0.7563
- density of states at the Fermi level (states/eV/f.u.) = 8.490

abc: 11.4007 4.0731 8.4598
angles: 90.00 117.51 90.00
Closest atoms and distances in Å follow each position.
Space group C2/m (No. 12)
Symmetry-distinct sites (fractional):
Pa 0.0000 0.0000 0.0000 [2 per cell]  6 As 2.82-2.91
Pa 0.1355 0.5000 0.6831 [4 per cell]  6 As 2.85-3.10, 3 Co 2.91-3.06
Co 0.1894 0.5000 0.3789 [4 per cell]  4 As 2.37-2.44
As 0.0841 0.0000 0.3819 [4 per cell]  3 Co 2.37-2.44
As 0.1921 0.5000 0.0950 [4 per cell]  1 Co 2.42

=====

[2]
The following is a GGA-PBE calculation of a relaxed structure of CaCuN3, from Alexandria.

Computed properties:
- density of states at the Fermi level (states/eV/f.u.) = 4.624

abc: 3.8210 3.8210 3.8210
angles: 90.00 90.00 90.00
Closest atoms and distances in Å follow each position.
Space group Pm-3m (No. 221)
Symmetry-distinct sites (fractional):
Ca 0.0000 0.0000 0.0000 [1 per cell]  12 N 2.70
Cu 0.5000 0.5000 0.5000 [1 per cell]  6 N 1.91
N 0.0000 0.5000 0.5000 [3 per cell]  2 Cu 1.91

=====

[3]
The following is a GGA-PBE calculation of a relaxed structure of Ba2AgAuO4, from Alexandria.

abc: 6.4345 6.4345 7.0138
angles: 90.00 90.00 90.00
Closest atoms and distances in Å follow each position.
Space group I-4 (No. 82)
Symmetry-distinct sites (fractional):
Ba 0.0000 0.0000 0.0000 [2 per cell]  4 O 2.74
Ba 0.0000 0.5000 0.2500 [2 per cell]  4 O 2.57
Ag 0.0000 0.0000 0.5000 [2 per cell]  4 O 2.51
Au 0.0000 0.5000 0.7500 [2 per cell]  4 O 2.05
O 0.1822 0.2409 0.7255 [8 per cell]  1 Au 2.05

=====

[4]
The following is a GGA-PBE calculation of a relaxed structure of HgH, from Alexandria.

Computed properties:
- energy relative to the lowest polymorph listed for this composition (kcal/mol of atoms) = 10.881
- density of states at the Fermi level (states/eV/f.u.) = 0.346

abc: 3.5356 3.5356 6.3813
angles: 90.00 90.00 120.00
Closest atoms and distances in Å follow each position.
Space group P6_3/mmc (No. 194)
Symmetry-distinct sites (fractional):
Hg 0.3333 0.6667 0.2500 [2 per cell]  3 H 2.04
H 0.3333 0.6667 0.7500 [2 per cell]  3 Hg 2.04

=====

[5]
The following is a GGA-PBE calculation of a relaxed structure of CrCo2Se, from Alexandria.

Computed properties:
- density of states at the Fermi level (states/eV/f.u.) = 4.477

abc: 2.7375 2.7375 6.6330
angles: 90.00 90.00 90.00
Closest atoms and distances in Å follow each position.
Space group P4/mmm (No. 123)
Symmetry-distinct sites (fractional):
Cr 0.0000 0.0000 0.0000 [1 per cell]  8 Co 2.48, 4 Cr 2.74
Co 0.5000 0.5000 0.2337 [2 per cell]  4 Cr 2.48, 4 Se 2.62, 4 Co 2.74
Se 0.0000 0.0000 0.5000 [1 per cell]  8 Co 2.62, 4 Se 2.74

=====

[6]
The following is a GGA-PBE calculation of a relaxed structure of LiCaMgAu2, from Alexandria.

Computed properties:
- energy relative to the elements (eV/atom) = -0.6235
- density of states at the Fermi level (states/eV/f.u.) = 1.911

abc: 4.1069 4.1069 12.8116
angles: 90.00 90.00 90.00
Closest atoms and distances in Å follow each position.
Space group I-4m2 (No. 119)
Symmetry-distinct sites (fractional):
Li 0.0000 0.0000 0.0000 [2 per cell]  4 Au 2.73, 4 Mg 2.90
Ca 0.0000 0.5000 0.2500 [2 per cell]  8 Au 3.22
Mg 0.0000 0.0000 0.5000 [2 per cell]  4 Au 2.73, 4 Li 2.90
Au 0.0000 0.5000 0.6408 [4 per cell]  2 Li 2.73, 2 Mg 2.73, 1 Au 2.80

=====

Number 1: calculated volume 348 Å³ per cell, uncorrected energy -7.57 eV/atom. Number 2: calculated volume 56 Å³ per cell, uncorrected energy -5.18 eV/atom. Number 3: calculated volume 290 Å³ per cell, uncorrected energy -5.02 eV/atom. Number 4: calculated volume 69 Å³ per cell, uncorrected energy -1.33 eV/atom. Number 5: calculated volume 50 Å³ per cell, uncorrected energy -6.50 eV/atom. Number 6: calculated volume 216 Å³ per cell, uncorrected energy -3.04 eV/atom.